The following is a DFT calculation (PBEsol) of a geometry-optimized Si2TcP structure. Values from VASP.

Quantum ESPRESSO input file:
```
&SYSTEM
  ibrav = 0, nat = 8, ntyp = 3
/
ATOMIC_SPECIES
Si 28.09 Si.upf
Tc 98.00 Tc.upf
P 30.97 P.upf
CELL_PARAMETERS angstrom
3.9822 0.0000 0.0000
0.0000 3.1822 0.0000
0.0000 0.0000 8.6633
ATOMIC_POSITIONS crystal
Si 0.0000 0.0000 0.0000
Si 0.0000 0.5000 0.5000
Si 0.5000 0.0000 0.3047
Si 0.5000 0.5000 0.8047
Tc 0.0000 0.0000 0.7202
Tc 0.0000 0.5000 0.2202
P 0.5000 0.0000 0.5658
P 0.5000 0.5000 0.0658
```

Output
electronic total energy	-7.35	eV/atom
ΔE_f (raw)	-0.8	eV per formula unit
M_tot	0.00	μB/f.u.

***

The following is a DFT calculation (PBEsol) of a geometry-optimized Cd2PbO4 structure. Values from VASP.

Quantum ESPRESSO input file:
```
&SYSTEM
  ibrav = 0, nat = 14, ntyp = 3
/
ATOMIC_SPECIES
Cd 112.41 Cd.upf
Pb 207.20 Pb.upf
O 16.00 O.upf
CELL_PARAMETERS angstrom
5.6839 0.0000 0.0000
0.0000 9.9824 0.0000
0.0000 0.0000 3.3123
ATOMIC_POSITIONS crystal
Cd 0.0641 0.1772 0.0000
Cd 0.4359 0.6772 0.0000
Cd 0.5641 0.3228 0.0000
Cd 0.9359 0.8228 0.0000
Pb 0.0000 0.5000 0.5000
Pb 0.5000 0.0000 0.5000
O 0.1389 0.7028 0.5000
O 0.2493 0.4639 0.0000
O 0.2507 0.9639 0.0000
O 0.3611 0.2028 0.5000
O 0.6389 0.7972 0.5000
O 0.7493 0.0361 0.0000
O 0.7507 0.5361 0.0000
O 0.8611 0.2972 0.5000
```

Output
electronic total energy	-4.91	eV/atom
ΔE_f (raw)	-7.0	eV per formula unit
M_tot	0.00	μB/f.u.

***

The following is a DFT calculation (PBEsol) of a geometry-optimized Sc2TaAg structure. Values from VASP.

Quantum ESPRESSO input file:
```
&SYSTEM
  ibrav = 0, nat = 8, ntyp = 3
/
ATOMIC_SPECIES
Sc 44.96 Sc.upf
Ta 180.95 Ta.upf
Ag 107.87 Ag.upf
CELL_PARAMETERS angstrom
4.0942 0.0000 0.0000
0.0000 4.0942 0.0000
0.0000 0.0000 9.1242
ATOMIC_POSITIONS crystal
Sc 0.0000 0.0000 0.0000
Sc 0.0000 0.5000 0.2500
Sc 0.5000 0.0000 0.7500
Sc 0.5000 0.5000 0.5000
Ta 0.0000 0.0000 0.5000
Ta 0.5000 0.5000 0.0000
Ag 0.0000 0.5000 0.7500
Ag 0.5000 0.0000 0.2500
```

Output
energy above the lowest structure with this stoichiometry	250.3	meV per atom
electronic total energy	-7.08	eV/atom
calculated formation energy	0.75	eV/f.u.
M_tot	0.00	μB/f.u.